A plane-wave DFT calculation with GGA-PBE was carried out for a relaxed Li2NdAgBr6 crystal.

Geometry as POSCAR:
```
Li2NdAgBr6
1.0
7.115 0.002 -0.002
3.559 6.161 0.000
3.556 2.055 6.483
Li Nd Ag Br
2 1 1 6
Direct
0.515 0.515 0.455
0.009 0.009 0.974
0.320 0.320 0.039
0.806 0.806 0.582
0.617 0.238 0.246
0.238 0.900 0.246
0.900 0.616 0.246
0.392 0.744 0.742
0.744 0.122 0.742
0.121 0.392 0.742
```

Output
Formation energy without anion corrections ... -14.00 eV per formula unit